1.
K2ScPb: optimized geometry, PBEsol.

Cell lengths 12.7113, 12.7113, 12.7113 Å; angles 16.71, 16.71, 16.71 degrees
Last column: nearest neighbours and their distance in Å.
Atoms (fractional coordinates):
K 0.0000 0.0000 0.0000  3 Pb 3.54, 6 K 3.69
K 0.2245 0.2245 0.2245  6 K 3.69, 3 Sc 3.99
Sc 0.4682 0.4682 0.4682  3 Pb 3.09
Pb 0.7419 0.7419 0.7419  3 Sc 3.09

- symmetry = R3m, No. 160
- E (hartree per atom) = -0.1119

***

2.
KPbSe2: optimized geometry, PBEsol.

Cell lengths 5.1326, 5.1326, 5.1326 Å; angles 113.62, 113.62, 101.45 degrees
Last column: nearest neighbours and their distance in Å.
Atoms (fractional coordinates):
K 0.0000 0.0000 0.0000  8 Se 3.25, 2 Pb 3.25
Pb 0.5000 0.5000 0.0000  8 Se 3.25, 2 K 3.25
Se 0.2500 0.7500 0.5000  4 Pb 3.25, 4 K 3.25, 2 Se 3.25
Se 0.7500 0.2500 0.5000  4 Pb 3.25, 4 K 3.25, 2 Se 3.25

- symmetry = I4/mmm, No. 139
- raw formation energy (eV/atom) = -0.54

***

3.
KPbSe2: optimized geometry, PBEsol.

Cell lengths 4.1348, 4.1348, 7.6672 Å; angles 90.00, 90.00, 90.00 degrees
Last column: nearest neighbours and their distance in Å.
Atoms (fractional coordinates):
K 0.0000 0.0000 0.0000  5 Se 3.12-3.32
Pb 0.5000 0.5000 0.5154  1 Se 2.62
Se 0.0000 0.0000 0.4335  4 Pb 2.99, 1 K 3.32
Se 0.5000 0.5000 0.8565  1 Pb 2.62

- symmetry = P4mm, No. 99
- raw formation energy (eV/atom) = -0.53